Compound: ScGe2PtC
Source: Alexandria
Functional: GGA-PBEsol
Structure: optimized geometry

Calculated values
Formation enthalpy at 0 K (eV/f.u.): 7.26
Symmetry: P4/mmm

Cell: 3.9261 5.0013 5.0013 Å, 90.00 90.00 90.00°
Positions (direct):
Sc1 0.0000 0.0000 0.0000
Ge1 0.0000 0.0000 0.5000
Ge2 0.0000 0.5000 0.0000
C1 0.5000 0.0000 0.0000
Pt1 0.5000 0.5000 0.5000

Compound: LaTaSiHg2
Source: Alexandria
Functional: GGA-PBEsol
Structure: optimized geometry

Calculated values
Symmetry: P4/mmm

Cell: 4.8175 5.2066 5.2066 Å, 90.00 90.00 90.00°
Positions (direct):
Si1 0.5000 0.0000 0.0000
La1 0.5000 0.5000 0.5000
Hg1 0.0000 0.0000 0.5000
Hg2 0.0000 0.5000 0.0000
Ta1 0.0000 0.0000 0.0000

Compound: MgIO2F
Source: Alexandria
Functional: GGA-PBEsol
Structure: optimized geometry

Calculated values
Symmetry: P4/mmm

Cell: 3.6830 4.0611 4.0611 Å, 90.00 90.00 90.00°
Positions (direct):
I1 0.5000 0.5000 0.5000
Mg1 0.0000 0.0000 0.0000
O1 0.0000 0.0000 0.5000
O2 0.0000 0.5000 0.0000
F1 0.5000 0.0000 0.0000

Compound: TlPtBr
Source: Alexandria
Functional: GGA-PBEsol
Structure: optimized geometry

Calculated values
Symmetry: Fmm2
Energy above the lowest structure with this stoichiometry (meV/atom): 158.1

Cell: 3.5427 3.5427 6.0071 Å, 102.83 102.83 104.31°
Positions (direct):
Tl1 0.3066 0.3066 0.6131
Br1 0.0215 0.0215 0.0429
Pt1 0.6720 0.6720 0.3439

Compound: Ag3PtRh
Source: Alexandria
Functional: GGA-PBEsol
Structure: optimized geometry

Calculated values
Formation enthalpy at 0 K (eV/f.u.): 7.66
Symmetry: Pm-3m

Cell: 4.8916 4.8916 4.8916 Å, 90.00 90.00 90.00°
Positions (direct):
Rh1 0.5000 0.5000 0.5000
Ag1 0.0000 0.5000 0.0000
Ag2 0.0000 0.0000 0.5000
Ag3 0.5000 0.0000 0.0000
Pt1 0.0000 0.0000 0.0000

Compound: CaZr3Cd
Source: Alexandria
Functional: GGA-PBEsol
Structure: optimized geometry

Calculated values
Formation enthalpy at 0 K (eV/f.u.): 7.45
Symmetry: Pm-3m
Energy above the lowest structure with this stoichiometry (meV/atom): 546.2

Cell: 4.9602 4.9602 4.9602 Å, 90.00 90.00 90.00°
Positions (direct):
Ca1 0.0000 0.0000 0.0000
Zr1 0.0000 0.5000 0.0000
Zr2 0.0000 0.0000 0.5000
Zr3 0.5000 0.0000 0.0000
Cd1 0.5000 0.5000 0.5000

Compound: Li2CdRhS
Source: Alexandria
Functional: GGA-PBEsol
Structure: optimized geometry

Calculated values
Symmetry: P4/mmm

Cell: 4.2293 4.9606 4.9606 Å, 90.00 90.00 90.00°
Positions (direct):
S1 0.5000 0.0000 0.0000
Li1 0.0000 0.0000 0.5000
Li2 0.0000 0.5000 0.0000
Rh1 0.0000 0.0000 0.0000
Cd1 0.5000 0.5000 0.5000

Compound: MnHg2Os
Source: Alexandria
Functional: GGA-PBEsol
Structure: optimized geometry

Calculated values
Formation enthalpy at 0 K (eV/f.u.): 2.42
Symmetry: P4/mmm

Cell: 4.0394 4.0391 4.0648 Å, 90.00 90.00 90.00°
Positions (direct):
Hg1 0.0000 0.0000 0.0000
Hg2 0.5000 0.5000 0.0000
Mn1 0.5000 0.0000 0.5000
Os1 0.0000 0.5000 0.5000

| no. | M_tot (Bohr magnetons per cell) | final energy (eV per atom) |
| --- | --- | --- |
| 1 | 0.000 | -5.1659 |
| 2 | 0.000 | -4.8407 |
| 3 | 0.000 | -4.3166 |
| 4 | 0.000 | -3.5960 |
| 5 | 1.294 | -3.4755 |
| 6 | 0.005 | -4.6304 |
| 7 | 0.000 | -3.7065 |
| 8 | 4.391 | -5.1715 |